A relaxed structure of CoGeAu3. Source: Alexandria via LeMat-Bulk, functional PBE.

Values from the calculation:
Volume   109.6 Å³/cell
Formation energy   0.763 eV/atom
Total magnetic moment   0.381 μB per atom
Excess energy over the best structure of this formula in the dataset   0 meV per atom
Symmetry   No. 221

Cell and atoms, written as POSCAR:
```
CoGeAu3
1.0
-2.5635 -0.0666 4.0400
-3.6551 -2.0012 -2.3522
1.7223 -4.3461 1.0212
Au Co Ge
3 1 1
Cartesian
-1.2817 -0.0333 2.0200
0.8612 -2.1730 0.5106
-1.8275 -1.0006 -1.1761
0.0000 0.0000 0.0000
-2.2481 -3.2069 1.3545
```